No. 1
Here is a relaxed structure of KTl4Pb from Alexandria. Energies are from PBE-GGA.

V: 34.7 A^3/atom
Formation energy: -22 kJ/mol of formula units
Energy above the lowest structure with this stoichiometry: 0.4 kJ per mole of atoms
Mass density: 8.49 g/cm3
Total magnetization: 0.0 Bohr magnetons per cell

abc: 4.900 8.835 9.614
angles: 90.00 90.00 90.00
Sites, in units of the cell vectors:
Tl  0.500  0.689  0.038
K  0.000  0.357  0.250
Tl  0.500  0.311  0.538
Tl  0.500  0.955  0.750
K  0.000  0.643  0.750
Tl  0.500  0.689  0.462
Tl  0.000  0.000  0.500
Pb  0.000  0.757  0.250
Tl  0.000  0.000  0.000
Tl  0.500  0.311  0.962
Tl  0.500  0.045  0.250
Pb  0.000  0.243  0.750

***

No. 2
Here is a relaxed structure of KTlPb2 from Alexandria. Energies are from PBE-GGA.

V: 35.6 A^3/atom
Formation energy: 33 kJ/mol of formula units
Energy above the lowest structure with this stoichiometry: 17.6 kJ per mole of atoms
Mass density: 7.66 g/cm3
Total magnetization: 0.0 Bohr magnetons per cell

abc: 4.864 4.864 12.534
angles: 78.81 78.81 90.00
Sites, in units of the cell vectors:
Pb  0.108  0.625  0.250
Tl  0.000  0.000  0.000
Pb  0.642  0.125  0.250
Pb  0.875  0.892  0.750
Tl  0.750  0.250  0.500
K  0.500  0.500  0.000
K  0.250  0.750  0.500
Pb  0.375  0.358  0.750

***

No. 3
Here is a relaxed structure of K3Tl3Pb2 from Alexandria. Energies are from PBE-GGA.

V: 35.9 A^3/atom
Formation energy: -78 kJ/mol of formula units
Energy above the lowest structure with this stoichiometry: 2.8 kJ per mole of atoms
Mass density: 6.61 g/cm3
Total magnetization: 0.0 Bohr magnetons per cell

abc: 5.624 6.197 18.520
angles: 90.00 90.00 116.99
Sites, in units of the cell vectors:
Tl  0.870  0.741  0.250
Pb  0.740  0.481  0.839
Pb  0.260  0.519  0.339
K  0.559  0.117  0.250
K  0.441  0.883  0.750
Tl  0.970  0.940  0.406
K  0.344  0.687  0.541
K  0.656  0.313  0.459
Tl  0.030  0.060  0.906
Tl  0.970  0.940  0.094
K  0.344  0.687  0.959
Tl  0.030  0.060  0.594
K  0.656  0.313  0.041
Tl  0.130  0.259  0.750
Pb  0.260  0.519  0.161
Pb  0.740  0.481  0.661

***

No. 4
Here is a relaxed structure of KTl8Pb6 from Alexandria. Energies are from PBE-GGA.

V: 35.6 A^3/atom
Formation energy: 44 kJ/mol of formula units
Mass density: 9.06 g/cm3
Total magnetization: 0.0 Bohr magnetons per cell

abc: 5.824 10.295 10.295
angles: 120.00 90.00 90.00
Sites, in units of the cell vectors:
Tl  0.930  0.691  0.544
Tl  0.930  0.853  0.309
Tl  0.930  0.456  0.147
Pb  0.424  0.018  0.359
K  0.500  0.000  0.000
Tl  0.070  0.309  0.456
Tl  0.070  0.544  0.853
Pb  0.424  0.340  0.982
Tl  0.070  0.147  0.691
Pb  0.576  0.359  0.340
Pb  0.424  0.641  0.660
Pb  0.576  0.660  0.018
Tl  0.594  0.333  0.667
Pb  0.576  0.982  0.641
Tl  0.406  0.667  0.333

***

No. 5
Here is a relaxed structure of KTlPb from Alexandria. Energies are from PBE-GGA.

V: 34.7 A^3/atom
Formation energy: -28 kJ/mol of formula units
Energy above the lowest structure with this stoichiometry: 6.9 kJ per mole of atoms
Mass density: 7.18 g/cm3
Total magnetization: 0.0 Bohr magnetons per cell

abc: 3.453 4.821 6.924
angles: 110.37 104.44 90.00
Sites, in units of the cell vectors:
K  0.997  0.997  0.994
Pb  0.685  0.685  0.370
Tl  0.318  0.318  0.636

***

No. 6
Here is a relaxed structure of K3TlPb from Alexandria. Energies are from PBE-GGA.

V: 42.9 A^3/atom
Formation energy: -57 kJ/mol of formula units
Energy above the lowest structure with this stoichiometry: 0.0 kJ per mole of atoms
Mass density: 4.09 g/cm3
Total magnetization: 0.0 Bohr magnetons per cell

abc: 6.314 6.318 12.428
angles: 90.00 90.00 119.98
Sites, in units of the cell vectors:
K  0.511  0.669  0.750
K  0.843  0.334  0.593
Pb  0.175  0.998  0.250
Pb  0.177  0.002  0.750
K  0.843  0.334  0.907
K  0.509  0.666  0.093
K  0.509  0.666  0.407
K  0.842  0.331  0.250
Tl  0.176  0.000  0.000
Tl  0.176  0.000  0.500

***

No. 7
Here is a relaxed structure of KTlPb2 from Alexandria. Energies are from PBE-GGA.

V: 33.0 A^3/atom
Formation energy: -10 kJ/mol of formula units
Energy above the lowest structure with this stoichiometry: 6.7 kJ per mole of atoms
Mass density: 8.28 g/cm3
Total magnetization: 0.0 Bohr magnetons per cell

abc: 6.602 6.969 3.354
angles: 78.42 85.17 116.96
Sites, in units of the cell vectors:
Pb  0.000  0.000  0.000
Tl  0.000  0.500  0.500
K  0.500  0.500  0.000
Pb  0.500  0.000  0.500

***

No. 8
Here is a relaxed structure of K3Tl2Pb3 from Alexandria. Energies are from PBE-GGA.

V: 37.3 A^3/atom
Formation energy: -81 kJ/mol of formula units
Mass density: 6.38 g/cm3
Total magnetization: 0.0 Bohr magnetons per cell

abc: 4.788 6.860 19.400
angles: 90.00 90.00 110.42
Sites, in units of the cell vectors:
K  0.642  0.283  0.461
Pb  0.055  0.109  0.898
K  0.642  0.283  0.039
Tl  0.272  0.544  0.150
Pb  0.055  0.109  0.602
Pb  0.945  0.891  0.102
K  0.358  0.717  0.539
K  0.574  0.147  0.250
K  0.426  0.853  0.750
Tl  0.272  0.544  0.350
K  0.358  0.717  0.961
Tl  0.728  0.456  0.850
Tl  0.728  0.456  0.650
Pb  0.859  0.719  0.250
Pb  0.945  0.891  0.398
Pb  0.141  0.281  0.750

***

No. 9
Here is a relaxed structure of K2TlPb from Alexandria. Energies are from PBE-GGA.

V: 41.0 A^3/atom
Formation energy: -45 kJ/mol of formula units
Energy above the lowest structure with this stoichiometry: 0.6 kJ per mole of atoms
Mass density: 4.96 g/cm3
Total magnetization: 0.0 Bohr magnetons per cell

abc: 5.252 7.037 10.089
angles: 74.55 74.91 68.09
Sites, in units of the cell vectors:
Pb  0.147  0.908  0.797
K  0.489  0.356  0.666
Tl  0.063  0.755  0.118
Tl  0.480  0.046  0.994
Pb  0.521  0.661  0.298
K  0.791  0.452  0.967
K  0.826  0.812  0.536
K  0.225  0.227  0.323

***

No. 10
Here is a relaxed structure of K3Tl7Pb2 from Alexandria. Energies are from PBE-GGA.

V: 36.6 A^3/atom
Formation energy: -6 kJ/mol of formula units
Energy above the lowest structure with this stoichiometry: 7.0 kJ per mole of atoms
Mass density: 7.43 g/cm3
Total magnetization: 0.0 Bohr magnetons per cell

abc: 5.965 5.634 13.355
angles: 102.18 90.00 90.00
Sites, in units of the cell vectors:
Pb  0.000  0.854  0.708
Tl  0.000  0.578  0.156
K  0.500  0.668  0.336
Tl  0.000  0.000  0.000
K  0.500  0.332  0.664
Tl  0.000  0.422  0.844
Pb  0.000  0.146  0.292
K  0.500  0.500  0.000
Tl  0.500  0.079  0.158
Tl  0.000  0.273  0.546
Tl  0.000  0.727  0.454
Tl  0.500  0.921  0.842

***

No. 11
Here is a relaxed structure of KTlPb from Alexandria. Energies are from PBE-GGA.

V: 34.9 A^3/atom
Formation energy: -29 kJ/mol of formula units
Energy above the lowest structure with this stoichiometry: 6.6 kJ per mole of atoms
Mass density: 7.15 g/cm3
Total magnetization: 0.0 Bohr magnetons per cell

abc: 5.409 5.409 8.257
angles: 90.00 90.00 120.00
Sites, in units of the cell vectors:
Pb  0.000  0.000  0.299
Pb  0.000  0.000  0.701
Tl  0.333  0.667  0.198
Tl  0.333  0.667  0.802
K  0.667  0.333  0.000
K  0.667  0.333  0.500

***

No. 12
Here is a relaxed structure of K2Tl6Pb from Alexandria. Energies are from PBE-GGA.

V: 34.6 A^3/atom
Formation energy: -60 kJ/mol of formula units
Energy above the lowest structure with this stoichiometry: 0.0 kJ per mole of atoms
Mass density: 8.06 g/cm3
Total magnetization: 0.0 Bohr magnetons per cell

abc: 7.153 7.091 7.091
angles: 60.03 90.05 90.05
Sites, in units of the cell vectors:
Tl  0.665  0.176  0.176
Tl  0.336  0.824  0.352
Tl  0.664  0.648  0.176
Tl  0.664  0.176  0.648
K  0.862  0.667  0.667
Tl  0.335  0.824  0.824
K  0.138  0.333  0.333
Pb  0.000  0.000  0.000
Tl  0.336  0.352  0.824

***

- What is the mass density in the twelfth record?
  8.06 g/cm3